No. 1
Computed, not measured: a relaxed structure of KLiMn2Hg at the PBE level of DFT.

DOS at the Fermi energy   3.88 states/eV/f.u.
DFT formation energy   752 kJ/mol of formula units
Crystal system   tetragonal
Calculated volume   27.1 Å³ per atom

Unit cell a=5.387 b=5.387 c=4.664 alpha=90.00 beta=90.00 gamma=90.00
Positions (direct):
Li 0.000 0.000 0.500
K 0.000 0.000 0.000
Mn 0.000 0.500 0.000
Hg 0.500 0.500 0.500
Mn 0.500 0.000 0.000


No. 2
Computed, not measured: a relaxed structure of Rb2BaZn2 at the PBE level of DFT.

DOS at the Fermi energy   3.76 states/eV/f.u.
DFT formation energy   76 kJ/mol of formula units
Crystal system   tetragonal
Calculated volume   44.6 Å³ per atom

Unit cell a=5.301 b=5.301 c=8.773 alpha=72.42 beta=72.42 gamma=90.00
Positions (direct):
Rb 0.250 0.750 0.500
Zn 0.420 0.420 0.159
Ba 0.000 0.000 0.000
Zn 0.580 0.580 0.841
Rb 0.750 0.250 0.500


No. 3
Computed, not measured: a relaxed structure of Be2TlCd at the PBE level of DFT.

DOS at the Fermi energy   1.01 states/eV/f.u.
DFT formation energy   241 kJ/mol of formula units
Crystal system   orthorhombic
Calculated volume   18.1 Å³ per atom

Unit cell a=4.093 b=3.455 c=5.123 alpha=90.03 beta=90.00 gamma=90.00
Positions (direct):
Be 0.000 0.749 0.464
Be 0.000 0.751 0.036
Cd 0.500 0.250 0.250
Tl 0.500 0.750 0.750


No. 4
Computed, not measured: a relaxed structure of PmIrN at the PBE level of DFT.

DOS at the Fermi energy   1.71 states/eV/f.u.
Crystal system   orthorhombic
Formation energy (no corrections)   -2.1 eV per formula unit
Calculated volume   16.3 Å³ per atom

Unit cell a=3.396 b=5.989 c=9.641 alpha=90.00 beta=90.00 gamma=90.00
Positions (direct):
N 0.250 0.320 0.388
Ir 0.250 0.638 0.075
N 0.750 0.820 0.112
Pm 0.750 0.879 0.847
N 0.250 0.180 0.888
Ir 0.250 0.862 0.575
Pm 0.750 0.621 0.347
Pm 0.250 0.121 0.153
N 0.750 0.680 0.612
Ir 0.750 0.138 0.425
Pm 0.250 0.379 0.653
Ir 0.750 0.362 0.925


No. 5
Computed, not measured: a relaxed structure of Al2IrRu at the PBE level of DFT.

DOS at the Fermi energy   2.87 states/eV/f.u.
DFT formation energy   -189 kJ/mol of formula units
Crystal system   trigonal
Calculated volume   14.3 Å³ per atom

Unit cell a=8.158 b=8.158 c=8.158 alpha=20.32 beta=20.32 gamma=20.32
Positions (direct):
Ru 0.750 0.750 0.750
Ir 0.250 0.250 0.250
Al 0.000 0.000 0.000
Al 0.500 0.500 0.500


No. 6
Computed, not measured: a relaxed structure of Al2CrGa4 at the PBE level of DFT.

DOS at the Fermi energy   3.04 states/eV/f.u.
DFT formation energy   147 kJ/mol of formula units
Crystal system   tetragonal
Calculated volume   17.6 Å³ per atom

Unit cell a=6.768 b=6.768 c=5.492 alpha=128.03 beta=128.03 gamma=90.00
Positions (direct):
Ga 0.203 0.798 0.001
Al 0.250 0.750 0.500
Al 0.750 0.250 0.500
Cr 0.500 0.500 0.000
Ga 0.797 0.797 0.999
Ga 0.202 0.202 0.999
Ga 0.798 0.203 0.001


No. 7
Computed, not measured: a relaxed structure of GaPd2Au at the PBE level of DFT.

DOS at the Fermi energy   0.86 states/eV/f.u.
DFT formation energy   -167 kJ/mol of formula units
Crystal system   orthorhombic
Calculated volume   15.8 Å³ per atom

Unit cell a=5.543 b=5.543 c=5.614 alpha=117.74 beta=117.74 gamma=93.27
Positions (direct):
Ga 0.252 0.252 0.503
Au 0.787 0.213 0.000
Ga 0.748 0.748 0.497
Pd 0.250 0.750 0.500
Au 0.213 0.787 0.000
Pd 0.291 0.291 0.000
Pd 0.750 0.250 0.500
Pd 0.709 0.709 0.000


No. 8
Computed, not measured: a relaxed structure of ThAl2Au6 at the PBE level of DFT.

DOS at the Fermi energy   5.12 states/eV/f.u.
DFT formation energy   -273 kJ/mol of formula units
Crystal system   trigonal
Calculated volume   22.3 Å³ per atom

Unit cell a=5.796 b=5.796 c=6.900 alpha=90.00 beta=90.00 gamma=120.00
Positions (direct):
Au 0.499 0.000 0.212
Al 0.333 0.667 0.500
Au 0.501 0.000 0.788
Al 0.667 0.333 0.500
Au 0.499 0.499 0.788
Au 0.501 0.501 0.212
Au 0.000 0.501 0.788
Au 0.000 0.499 0.212
Th 0.000 0.000 0.000


No. 9
Computed, not measured: a relaxed structure of Al4InAg15 at the PBE level of DFT.

DOS at the Fermi energy   3.89 states/eV/f.u.
DFT formation energy   -61 kJ/mol of formula units
Crystal system   tetragonal
Calculated volume   17.6 Å³ per atom

Unit cell a=4.106 b=4.106 c=20.838 alpha=90.00 beta=90.00 gamma=90.00
Positions (direct):
Ag 0.500 0.000 0.303
Ag 0.500 0.000 0.697
Al 0.000 0.000 0.796
Al 0.000 0.000 0.598
Ag 0.500 0.000 0.107
In 0.000 0.000 0.000
Al 0.000 0.000 0.204
Ag 0.500 0.500 0.205
Ag 0.000 0.500 0.107
Ag 0.500 0.500 0.599
Ag 0.000 0.500 0.697
Ag 0.500 0.000 0.500
Ag 0.000 0.500 0.893
Al 0.000 0.000 0.402
Ag 0.500 0.500 0.401
Ag 0.500 0.500 0.795
Ag 0.500 0.000 0.893
Ag 0.500 0.500 0.000
Ag 0.000 0.500 0.500
Ag 0.000 0.500 0.303


No. 10
Computed, not measured: a relaxed structure of Pm3PrO6 at the PBE level of DFT.

DOS at the Fermi energy   0.00 states/eV/f.u.
Crystal system   trigonal
Formation energy (no corrections)   -33.4 eV per formula unit
Calculated volume   16.7 Å³ per atom

Unit cell a=6.078 b=6.078 c=6.280 alpha=61.06 beta=61.06 gamma=60.00
Positions (direct):
O 0.959 0.533 0.250
O 0.040 0.457 0.753
Pm 0.140 0.140 0.580
O 0.533 0.258 0.250
O 0.457 0.751 0.753
Pm 0.360 0.360 0.920
O 0.751 0.040 0.753
O 0.258 0.959 0.250
Pr 0.862 0.862 0.413
Pm 0.641 0.641 0.077


No. 11
Computed, not measured: a relaxed structure of Ti6FeIr at the PBE level of DFT.

DOS at the Fermi energy   9.67 states/eV/f.u.
DFT formation energy   -253 kJ/mol of formula units
Crystal system   tetragonal
Calculated volume   15.5 Å³ per atom

Unit cell a=4.291 b=4.291 c=7.396 alpha=73.14 beta=73.14 gamma=90.00
Positions (direct):
Ir 0.000 0.000 0.000
Ti 0.886 0.386 0.227
Fe 0.500 0.500 0.000
Ti 0.386 0.886 0.227
Ti 0.749 0.749 0.502
Ti 0.114 0.614 0.773
Ti 0.251 0.251 0.498
Ti 0.614 0.114 0.773


No. 12
Computed, not measured: a relaxed structure of BaFe2Re at the PBE level of DFT.

DOS at the Fermi energy   7.57 states/eV/f.u.
DFT formation energy   454 kJ/mol of formula units
Crystal system   tetragonal
Calculated volume   21.5 Å³ per atom

Unit cell a=7.187 b=7.187 c=6.072 alpha=53.71 beta=53.71 gamma=90.00
Positions (direct):
Re 0.000 0.000 0.000
Re 0.750 0.250 0.500
Fe 0.375 0.285 0.750
Fe 0.875 0.965 0.750
Ba 0.250 0.750 0.500
Fe 0.035 0.625 0.250
Fe 0.715 0.125 0.250
Ba 0.500 0.500 0.000


No. 13
Computed, not measured: a relaxed structure of TaNiP3 at the PBE level of DFT.

DOS at the Fermi energy   4.49 states/eV/f.u.
DFT formation energy   326 kJ/mol of formula units
Crystal system   cubic
Calculated volume   16.1 Å³ per atom

Unit cell a=4.321 b=4.321 c=4.321 alpha=90.00 beta=90.00 gamma=90.00
Positions (direct):
P 0.000 0.500 0.000
P 0.000 0.000 0.500
Ni 0.000 0.000 0.000
P 0.500 0.000 0.000
Ta 0.500 0.500 0.500


No. 14
Computed, not measured: a relaxed structure of Ac3Tl2Pt at the PBE level of DFT.

DOS at the Fermi energy   5.60 states/eV/f.u.
DFT formation energy   -329 kJ/mol of formula units
Crystal system   orthorhombic
Calculated volume   35.3 Å³ per atom

Unit cell a=5.798 b=8.275 c=10.169 alpha=113.99 beta=106.56 gamma=90.00
Positions (direct):
Tl 0.305 0.554 0.609
Tl 0.305 0.054 0.609
Ac 0.134 0.134 0.267
Ac 0.866 0.366 0.733
Ac 0.866 0.866 0.733
Pt 0.000 0.250 0.000
Tl 0.695 0.946 0.391
Pt 0.000 0.750 0.000
Tl 0.695 0.446 0.391
Ac 0.500 0.750 0.000
Ac 0.500 0.250 0.000
Ac 0.134 0.634 0.267


No. 15
Computed, not measured: a relaxed structure of SnSb2Br at the PBE level of DFT.

DOS at the Fermi energy   2.22 states/eV/f.u.
Crystal system   cubic
Formation energy (no corrections)   0.5 eV per formula unit
Calculated volume   26.6 Å³ per atom

Unit cell a=5.317 b=5.317 c=5.317 alpha=60.00 beta=60.00 gamma=60.00
Positions (direct):
Br 0.000 0.000 0.000
Sn 0.500 0.500 0.500
Sb 0.250 0.250 0.250
Sb 0.750 0.750 0.750


No. 16
Computed, not measured: a relaxed structure of DyMg5Rh2 at the PBE level of DFT.

DOS at the Fermi energy   3.90 states/eV/f.u.
DFT formation energy   -285 kJ/mol of formula units
Crystal system   orthorhombic
Calculated volume   20.6 Å³ per atom

Unit cell a=4.139 b=6.673 c=6.673 alpha=77.43 beta=71.93 gamma=71.93
Positions (direct):
Dy 0.000 0.000 0.000
Rh 0.279 0.221 0.221
Mg 0.333 0.485 0.849
Mg 0.333 0.849 0.485
Rh 0.721 0.779 0.779
Mg 0.667 0.151 0.515
Mg 0.667 0.515 0.151
Mg 0.000 0.500 0.500


No. 17
Computed, not measured: a relaxed structure of MnCd2Ni at the PBE level of DFT.

DOS at the Fermi energy   2.82 states/eV/f.u.
DFT formation energy   87 kJ/mol of formula units
Crystal system   orthorhombic
Calculated volume   16.6 Å³ per atom

Unit cell a=6.540 b=4.801 c=2.993 alpha=89.95 beta=62.86 gamma=122.65
Positions (direct):
Ni 0.500 0.500 0.000
Cd 0.500 0.000 0.500
Mn 0.000 0.500 0.500
Cd 0.000 0.000 0.000


No. 18
Computed, not measured: a relaxed structure of LaNi2Br at the PBE level of DFT.

DOS at the Fermi energy   1.43 states/eV/f.u.
Crystal system   orthorhombic
Formation energy (no corrections)   -0.2 eV per formula unit
Calculated volume   20.0 Å³ per atom

Unit cell a=4.716 b=4.716 c=4.695 alpha=68.26 beta=68.26 gamma=105.18
Positions (direct):
Ni 0.500 0.500 0.000
La 0.000 0.500 0.500
Ni 0.000 0.000 0.000
Br 0.500 0.000 0.500


No. 19
Computed, not measured: a relaxed structure of HgSeNF2 at the PBE level of DFT.

DOS at the Fermi energy   2.71 states/eV/f.u.
Crystal system   tetragonal
Formation energy (no corrections)   -0.1 eV per formula unit
Calculated volume   15.8 Å³ per atom

Unit cell a=4.656 b=4.656 c=3.649 alpha=90.00 beta=90.00 gamma=90.00
Positions (direct):
N 0.000 0.000 0.500
F 0.500 0.000 0.000
F 0.000 0.500 0.000
Se 0.000 0.000 0.000
Hg 0.500 0.500 0.500


No. 20
Computed, not measured: a relaxed structure of RbCeCdF6 at the PBE level of DFT.

DOS at the Fermi energy   3.71 states/eV/f.u.
Crystal system   trigonal
Formation energy (no corrections)   -27.8 eV per formula unit
Calculated volume   21.2 Å³ per atom

Unit cell a=6.308 b=6.308 c=11.057 alpha=90.00 beta=90.00 gamma=120.00
Positions (direct):
F 0.998 0.624 0.355
F 0.373 0.376 0.855
F 0.373 0.998 0.645
F 0.998 0.373 0.145
Ce 0.667 0.333 0.750
F 0.624 0.998 0.855
F 0.627 0.002 0.355
F 0.376 0.373 0.355
Rb 0.000 0.000 0.500
Ce 0.333 0.667 0.250
Rb 0.000 0.000 0.000
F 0.002 0.627 0.855
Cd 0.667 0.333 0.250
F 0.002 0.376 0.645
Cd 0.333 0.667 0.750
F 0.624 0.627 0.645
F 0.376 0.002 0.145
F 0.627 0.624 0.145


No. 21
Computed, not measured: a relaxed structure of Pr2YTm6 at the PBE level of DFT.

DOS at the Fermi energy   12.12 states/eV/f.u.
DFT formation energy   64 kJ/mol of formula units
Crystal system   monoclinic
Calculated volume   31.9 Å³ per atom

Unit cell a=9.057 b=8.875 c=8.875 alpha=82.46 beta=63.90 gamma=63.90
Positions (direct):
Pr 0.934 0.401 0.218
Pr 0.434 0.218 0.401
Pr 0.066 0.599 0.782
Tm 0.185 0.811 0.993
Tm 0.685 0.993 0.811
Tm 0.815 0.189 0.007
Tm 0.960 0.334 0.597
Y 0.250 0.172 0.828
Tm 0.640 0.609 0.937
Tm 0.040 0.666 0.403
Tm 0.860 0.063 0.391
Tm 0.460 0.597 0.334
Tm 0.140 0.937 0.609
Tm 0.360 0.391 0.063
Tm 0.315 0.007 0.189
Tm 0.540 0.403 0.666
Pr 0.566 0.782 0.599
Y 0.750 0.828 0.172


No. 22
Computed, not measured: a relaxed structure of Cs2ZnInHg at the PBE level of DFT.

DOS at the Fermi energy   5.16 states/eV/f.u.
DFT formation energy   21 kJ/mol of formula units
Crystal system   tetragonal
Calculated volume   53.4 Å³ per atom

Unit cell a=7.289 b=7.289 c=5.029 alpha=90.00 beta=90.00 gamma=90.00
Positions (direct):
Cs 0.000 0.500 0.000
Hg 0.500 0.500 0.500
Zn 0.000 0.000 0.000
Cs 0.500 0.000 0.000
In 0.000 0.000 0.500


No. 23
Computed, not measured: a relaxed structure of LiLaZn2Co at the PBE level of DFT.

DOS at the Fermi energy   3.79 states/eV/f.u.
DFT formation energy   -9 kJ/mol of formula units
Crystal system   tetragonal
Calculated volume   22.6 Å³ per atom

Unit cell a=4.829 b=4.829 c=4.847 alpha=90.00 beta=90.00 gamma=90.00
Positions (direct):
Zn 0.000 0.500 0.000
Co 0.000 0.000 0.000
Li 0.500 0.500 0.500
Zn 0.500 0.000 0.000
La 0.000 0.000 0.500


No. 24
Computed, not measured: a relaxed structure of TlRhW2 at the PBE level of DFT.

DOS at the Fermi energy   2.50 states/eV/f.u.
DFT formation energy   196 kJ/mol of formula units
Crystal system   orthorhombic
Calculated volume   16.9 Å³ per atom

Unit cell a=5.338 b=5.338 c=5.338 alpha=141.44 beta=133.85 gamma=61.66
Positions (direct):
Rh 0.000 0.500 0.500
Tl 0.500 0.000 0.500
W 0.753 0.753 0.000
W 0.247 0.247 0.000


No. 25
Computed, not measured: a relaxed structure of Tl2RhBr at the PBE level of DFT.

DOS at the Fermi energy   3.82 states/eV/f.u.
Crystal system   tetragonal
Formation energy (no corrections)   0.4 eV per formula unit
Calculated volume   25.0 Å³ per atom

Unit cell a=3.524 b=3.524 c=8.067 alpha=90.00 beta=90.00 gamma=90.00
Positions (direct):
Tl 0.500 0.500 0.263
Rh 0.500 0.500 0.772
Tl 0.000 0.000 0.929
Br 0.000 0.000 0.536


no.,total DFT energy (no corrections) (eV/cell)
1,-13.9
2,-5.6
3,-8.2
4,-96.0
5,-27.6
6,-27.7
7,-36.8
8,-37.4
9,-61.1
10,-82.2
11,-67.3
12,-53.2
13,-30.5
14,-53.0
15,-13.4
16,-30.2
17,-15.9
18,-18.3
19,-15.9
20,-93.8
21,-84.4
22,-5.8
23,-16.6
24,-33.6
25,-13.3